--- A ---
The following is a PBE+U calculation of HfMn3F after structural relaxation, from Alexandria via LeMat-Bulk.

```
HfMn3F
1.0
4.5134 0.0000 0.0000
0.0000 4.5134 0.0000
0.0000 0.0000 4.5134
Hf Mn F
1 3 1
Cartesian
2.2567 2.2567 2.2567
0.0000 2.2567 0.0000
2.2567 0.0000 0.0000
0.0000 0.0000 2.2567
0.0000 0.0000 0.0000
```

Results
SG   No. 221
Magnetic moment   11.98 μB per formula unit

---

--- B ---
The following is a PBE+U calculation of HfMn3F after structural relaxation, from Alexandria via LeMat-Bulk.

```
HfMn3F
1.0
-2.4437 -3.2553 3.4378
4.6503 -2.3764 1.0554
0.8885 3.4846 3.9312
Hf Mn F
1 3 1
Cartesian
0.0000 0.0000 0.0000
2.3252 -1.1882 0.5277
0.4443 1.7423 1.9656
-1.2219 -1.6276 1.7189
1.5476 -1.0735 4.2122
```

Results
SG   No. 221
Magnetic moment   12.02 μB per formula unit

---

Which of them is most stable, and which least? Most stable: A; least stable: B.

---

--- A ---
The following is a PBE+U calculation of HfMnNF2 after structural relaxation, from Alexandria via LeMat-Bulk.

```
HfMnNF2
1.0
3.7476 0.0000 0.0000
0.0000 3.7476 0.0000
0.0000 0.0000 4.9694
N Mn Hf F
1 1 1 2
Cartesian
0.0000 0.0000 2.4847
0.0000 0.0000 0.0000
1.8738 1.8738 2.4847
0.0000 1.8738 0.0000
1.8738 0.0000 0.0000
```

Results
SG   No. 123
Magnetic moment   5.71 μB per formula unit

---

--- B ---
The following is a PBE+U calculation of HfMnNF2 after structural relaxation, from Alexandria via LeMat-Bulk.

```
HfMnNF2
1.0
4.2249 0.0000 0.0000
0.0000 4.2249 0.0000
0.0000 0.0000 4.1972
F N Hf Mn
2 1 1 1
Cartesian
2.1125 0.0000 0.0000
0.0000 2.1125 0.0000
0.0000 0.0000 2.0986
0.0000 0.0000 0.0000
2.1125 2.1125 2.0986
```

Results
SG   No. 123
Magnetic moment   5.58 μB per formula unit

---

Which of them is most stable, and which least? Most stable: B; least stable: A.

---

--- A ---
The following is a PBE+U calculation of HfMnOF2 after structural relaxation, from Alexandria via LeMat-Bulk.

```
HfMnOF2
1.0
-0.6688 -1.6442 -3.9910
3.9699 -1.8197 0.0844
-1.5674 -3.3434 1.6401
F Hf Mn O
2 1 1 1
Cartesian
-0.3344 -0.8221 -1.9955
1.9850 -0.9099 0.0422
0.0000 0.0000 0.0000
0.8668 -3.4037 -1.1332
-0.7837 -1.6717 0.8200
```

Results
SG   No. 123
Magnetic moment   5.01 μB per formula unit

---

--- B ---
The following is a PBE+U calculation of HfMnOF2 after structural relaxation, from Alexandria via LeMat-Bulk.

```
HfMnOF2
1.0
-3.6872 1.0775 -1.0236
-1.2424 -4.2563 -0.0051
-0.9838 0.2826 3.8414
F Hf Mn O
2 1 1 1
Cartesian
-1.8436 0.5387 -0.5118
-0.4919 0.1413 1.9207
-2.9567 -1.4481 1.4063
0.0000 0.0000 0.0000
-0.6212 -2.1281 -0.0026
```

Results
SG   No. 123
Magnetic moment   6.52 μB per formula unit

---

Which of them is most stable, and which least? Most stable: A; least stable: B.

---

--- A ---
The following is a PBE+U calculation of HfMn2SF after structural relaxation, from Alexandria via LeMat-Bulk.

```
HfMn2SF
1.0
-4.5938 -0.3153 -0.3127
0.2407 -4.6221 1.1241
-0.3778 1.0684 4.4739
Hf S F Mn
1 1 1 2
Cartesian
0.1204 -2.3110 0.5621
0.0000 0.0000 0.0000
-2.3655 -1.9345 2.6427
-0.1889 0.5342 2.2370
-2.2969 -0.1576 -0.1563
```

Results
SG   No. 123
Magnetic moment   7.92 μB per formula unit

---

--- B ---
The following is a PBE+U calculation of HfMn2SF after structural relaxation, from Alexandria via LeMat-Bulk.

```
HfMn2SF
1.0
-4.1619 -0.6570 1.1957
1.5741 -3.2672 3.6841
0.2875 3.3300 2.8304
Hf Mn S F
1 2 1 1
Cartesian
-1.1502 -0.2971 3.8551
0.1437 1.6650 1.4152
-2.0810 -0.3285 0.5978
0.0000 0.0000 0.0000
0.7871 -1.6336 1.8421
```

Results
SG   No. 123
Magnetic moment   5.78 μB per formula unit

---

Which of them is most stable, and which least? Most stable: A; least stable: B.